Record 1
A plane-wave DFT calculation with PBE was carried out for crystalline Ce5Hg2N2 at its relaxed geometry.

Its raw formation energy is -0.6951 eV/atom. Its total energy is -5.9088 eV/atom.

The space group is C2/m (No. 12) and the conventional cell measures 12.445, 5.267 and 6.846 Å, with angles of 90.00, 99.51 and 90.00 degrees. The asymmetric unit holds Ce at (0.000, 0.000, 0.000), Ce at (0.148, 0.000, 0.561), Ce at (0.174, 0.500, 0.887), Hg at (0.080, 0.500, 0.315) and N at (0.169, 0.000, 0.893).

---

Record 2
A plane-wave DFT calculation with PBE was carried out for crystalline Ce4Hg3N at its relaxed geometry.

Its raw formation energy is -0.4740 eV/atom. Its total energy is -4.5948 eV/atom.

The space group is I-43m (No. 217) and the conventional cell measures 7.582, 7.582 and 7.582 Å, with angles of 90.00, 90.00 and 90.00 degrees. The asymmetric unit holds Ce at (0.177, 0.177, 0.177), Hg at (0.000, 0.000, 0.500) and N at (0.000, 0.000, 0.000).

---

Record 3
A plane-wave DFT calculation with PBE was carried out for crystalline Ce2NdHgN at its relaxed geometry.

Its raw formation energy is -0.7318 eV/atom. Its total energy is -5.7843 eV/atom.

The space group is P4/mmm (No. 123) and the conventional cell measures 4.863, 4.863 and 5.091 Å, with angles of 90.00, 90.00 and 90.00 degrees. The asymmetric unit holds Ce at (0.000, 0.500, 0.000), Nd at (0.000, 0.000, 0.500), Hg at (0.500, 0.500, 0.500) and N at (0.000, 0.000, 0.000).

---

Record 4
A plane-wave DFT calculation with PBE was carried out for crystalline CeNd2HgN at its relaxed geometry.

Its raw formation energy is -0.7438 eV/atom. Its total energy is -5.5631 eV/atom.

The space group is P4/mmm (No. 123) and the conventional cell measures 5.059, 5.059 and 4.809 Å, with angles of 90.00, 90.00 and 90.00 degrees. The asymmetric unit holds Ce at (0.000, 0.000, 0.000), Nd at (0.000, 0.500, 0.500), Hg at (0.500, 0.500, 0.000) and N at (0.000, 0.000, 0.500).

---

Record 5
A plane-wave DFT calculation with PBE was carried out for crystalline Ce2HgP2N6 at its relaxed geometry.

Its raw formation energy is -0.6449 eV/atom. Its total energy is -7.2760 eV/atom.

The space group is C2/m (No. 12) and the conventional cell measures 11.200, 6.229 and 6.557 Å, with angles of 90.00, 120.71 and 90.00 degrees. The asymmetric unit holds Ce at (0.176, 0.000, 0.300), Hg at (0.000, 0.500, 0.000), P at (0.151, 0.000, 0.734), N at (0.078, 0.000, 0.885) and N at (0.184, 0.210, 0.635).

---

Record 6
A plane-wave DFT calculation with PBE was carried out for crystalline Ce2PmHgN at its relaxed geometry.

Its raw formation energy is -0.7423 eV/atom. Its total energy is -5.7914 eV/atom.

The space group is P4/mmm (No. 123) and the conventional cell measures 4.864, 4.864 and 5.040 Å, with angles of 90.00, 90.00 and 90.00 degrees. The asymmetric unit holds Ce at (0.000, 0.500, 0.000), Pm at (0.000, 0.000, 0.500), Hg at (0.500, 0.500, 0.500) and N at (0.000, 0.000, 0.000).

---

Record 7
A plane-wave DFT calculation with PBE was carried out for crystalline CePr2HgN at its relaxed geometry.

Its raw formation energy is -0.7238 eV/atom. Its total energy is -5.5478 eV/atom.

The space group is P4/mmm (No. 123) and the conventional cell measures 5.112, 5.112 and 4.800 Å, with angles of 90.00, 90.00 and 90.00 degrees. The asymmetric unit holds Ce at (0.000, 0.000, 0.000), Pr at (0.000, 0.500, 0.500), Hg at (0.500, 0.500, 0.000) and N at (0.000, 0.000, 0.500).

---

Record 8
A plane-wave DFT calculation with PBE was carried out for crystalline Ce2PrHgN at its relaxed geometry.

Its raw formation energy is -0.7219 eV/atom. Its total energy is -5.7767 eV/atom.

The space group is P4/mmm (No. 123) and the conventional cell measures 4.864, 4.864 and 5.139 Å, with angles of 90.00, 90.00 and 90.00 degrees. The asymmetric unit holds Ce at (0.000, 0.500, 0.000), Pr at (0.000, 0.000, 0.500), Hg at (0.500, 0.500, 0.500) and N at (0.000, 0.000, 0.000).

---

> Among the records above, which one has the lowest raw formation energy?

CeNd2HgN

---

> Which of these has the highest raw formation energy?

Ce4Hg3N

---

> Which of these has the highest raw formation energy?

Ce4Hg3N

---

Copy entry 7 word for word.
A plane-wave DFT calculation with PBE was carried out for crystalline CePr2HgN at its relaxed geometry.

Its raw formation energy is -0.7238 eV/atom. Its total energy is -5.5478 eV/atom.

The space group is P4/mmm (No. 123) and the conventional cell measures 5.112, 5.112 and 4.800 Å, with angles of 90.00, 90.00 and 90.00 degrees. The asymmetric unit holds Ce at (0.000, 0.000, 0.000), Pr at (0.000, 0.500, 0.500), Hg at (0.500, 0.500, 0.000) and N at (0.000, 0.000, 0.500).